# 1
First-principles (GGA-PBE) data for a relaxed structure of SmH2I, as listed in the Alexandria database.

Output
SG   R-3m (166)
Crystal system   trigonal
Final energy   -4.032 eV per atom
Spin magnetization   0.00 μB per atom
DOS at the Fermi energy   0.000 states/eV per cell

Cell lengths 3.9020, 3.9020, 15.6889 Å; angles 90.00, 90.00, 120.00 degrees
Element x y z (fractional)
Sm (0.0000, 0.0000, 0.0000)
Sm (0.3333, 0.6667, 0.6667)
Sm (0.6667, 0.3333, 0.3333)
H (0.0000, 0.0000, 0.3083)
H (0.0000, 0.0000, 0.6917)
H (0.3333, 0.6667, 0.3583)
H (0.3333, 0.6667, 0.9750)
H (0.6667, 0.3333, 0.0250)
H (0.6667, 0.3333, 0.6417)
I (0.0000, 0.0000, 0.5000)
I (0.3333, 0.6667, 0.1667)
I (0.6667, 0.3333, 0.8333)

# 2
First-principles (GGA-PBE) data for a relaxed structure of Sm3HI7, as listed in the Alexandria database.

Output
SG   P3m1 (156)
Crystal system   trigonal
Final energy   -3.764 eV per atom
Spin magnetization   0.09 μB per atom
DOS at the Fermi energy   4.592 states/eV per cell

Cell lengths 8.5207, 8.5207, 7.6619 Å; angles 90.00, 90.00, 120.00 degrees
Element x y z (fractional)
Sm (0.1754, 0.3509, 0.0000)
Sm (0.1754, 0.8246, 0.0000)
Sm (0.6491, 0.8246, 0.0000)
H (0.3333, 0.6667, 0.0688)
I (0.0000, 0.0000, 0.7608)
I (0.3366, 0.1683, 0.2367)
I (0.5025, 0.0050, 0.7518)
I (0.5025, 0.4975, 0.7518)
I (0.8317, 0.1683, 0.2367)
I (0.8317, 0.6634, 0.2367)
I (0.9950, 0.4975, 0.7518)

# 3
First-principles (GGA-PBE) data for a relaxed structure of SmHI, as listed in the Alexandria database.

Output
SG   I4mm (107)
Crystal system   tetragonal
Final energy   -3.791 eV per atom
Spin magnetization   0.00 μB per atom
DOS at the Fermi energy   2.507 states/eV per cell

Cell lengths 3.5930, 3.5930, 10.7479 Å; angles 90.00, 90.00, 90.00 degrees
Element x y z (fractional)
Sm (0.0000, 0.0000, 0.0000)
Sm (0.5000, 0.5000, 0.5000)
H (0.0000, 0.0000, 0.5627)
H (0.5000, 0.5000, 0.0627)
I (0.0000, 0.0000, 0.3009)
I (0.5000, 0.5000, 0.8009)

# 4
First-principles (GGA-PBE) data for a relaxed structure of SmHI, as listed in the Alexandria database.

Output
SG   C2/m (12)
Crystal system   monoclinic
Final energy   -3.936 eV per atom
Spin magnetization   0.00 μB per atom
DOS at the Fermi energy   6.782 states/eV per cell

Cell lengths 11.2045, 4.2708, 6.5656 Å; angles 90.00, 101.51, 90.00 degrees
Element x y z (fractional)
Sm (0.1832, 0.0000, 0.3121)
Sm (0.3168, 0.5000, 0.6879)
Sm (0.6832, 0.5000, 0.3121)
Sm (0.8168, 0.0000, 0.6879)
H (0.1614, 0.5000, 0.4171)
H (0.3386, 0.0000, 0.5829)
H (0.6614, 0.0000, 0.4171)
H (0.8386, 0.5000, 0.5829)
I (0.1165, 0.0000, 0.7891)
I (0.3835, 0.5000, 0.2109)
I (0.6165, 0.5000, 0.7891)
I (0.8835, 0.0000, 0.2109)

# 5
First-principles (GGA-PBE) data for a relaxed structure of Sm2HI3, as listed in the Alexandria database.

Output
SG   C2/m (12)
Crystal system   monoclinic
Final energy   -3.991 eV per atom
Spin magnetization   0.15 μB per atom
DOS at the Fermi energy   4.854 states/eV per cell

Cell lengths 9.9631, 9.9631, 12.2937 Å; angles 121.84, 121.84, 23.62 degrees
Element x y z (fractional)
Sm (0.0687, 0.0687, 0.4623)
Sm (0.3658, 0.3658, 0.2120)
Sm (0.6342, 0.6342, 0.7880)
Sm (0.9313, 0.9313, 0.5377)
H (0.0763, 0.0763, 0.6622)
H (0.9237, 0.9237, 0.3378)
I (0.1657, 0.1657, 0.0095)
I (0.2869, 0.2869, 0.3794)
I (0.4627, 0.4627, 0.7568)
I (0.5373, 0.5373, 0.2432)
I (0.7131, 0.7131, 0.6206)
I (0.8343, 0.8343, 0.9905)

# 6
First-principles (GGA-PBE) data for a relaxed structure of SmH2I3, as listed in the Alexandria database.

Output
SG   P-1 (2)
Crystal system   triclinic
Final energy   -3.215 eV per atom
Spin magnetization   0.00 μB per atom
DOS at the Fermi energy   0.000 states/eV per cell

Cell lengths 8.1002, 8.1706, 8.2178 Å; angles 64.78, 71.09, 68.49 degrees
Element x y z (fractional)
Sm (0.0000, 0.0000, 0.0000)
Sm (0.5000, 0.0000, 0.0000)
H (0.1139, 0.7848, 0.8505)
H (0.3589, 0.1579, 0.2061)
H (0.6411, 0.8421, 0.7939)
H (0.8861, 0.2152, 0.1495)
I (0.1114, 0.2031, 0.1939)
I (0.2886, 0.1685, 0.6781)
I (0.3198, 0.6724, 0.1717)
I (0.6802, 0.3276, 0.8283)
I (0.7114, 0.8315, 0.3219)
I (0.8886, 0.7969, 0.8061)

# 7
First-principles (GGA-PBE) data for a relaxed structure of SmHI3, as listed in the Alexandria database.

Output
SG   R-3m (166)
Crystal system   trigonal
Final energy   -3.200 eV per atom
Spin magnetization   0.20 μB per atom
DOS at the Fermi energy   0.000 states/eV per cell

Cell lengths 9.2883, 9.2883, 9.2883 Å; angles 52.91, 52.91, 52.91 degrees
Element x y z (fractional)
Sm (0.1664, 0.1664, 0.1664)
Sm (0.8336, 0.8336, 0.8336)
H (0.4130, 0.4130, 0.4130)
H (0.5870, 0.5870, 0.5870)
I (0.0836, 0.0836, 0.5827)
I (0.0836, 0.5827, 0.0836)
I (0.4173, 0.9164, 0.9164)
I (0.5827, 0.0836, 0.0836)
I (0.9164, 0.4173, 0.9164)
I (0.9164, 0.9164, 0.4173)

# 8
First-principles (GGA-PBE) data for a relaxed structure of SnH2I2, as listed in the Alexandria database.

Output
SG   I4/mmm (139)
Crystal system   tetragonal
Final energy   -2.199 eV per atom
Spin magnetization   0.00 μB per atom
DOS at the Fermi energy   3.789 states/eV per cell
Relative energy among the computed polymorphs   833.3 meV/atom

Cell lengths 3.9387, 3.9387, 13.1375 Å; angles 90.00, 90.00, 90.00 degrees
Element x y z (fractional)
Sn (0.0000, 0.0000, 0.0000)
Sn (0.5000, 0.5000, 0.5000)
H (0.0000, 0.5000, 0.2500)
H (0.0000, 0.5000, 0.7500)
H (0.5000, 0.0000, 0.2500)
H (0.5000, 0.0000, 0.7500)
I (0.0000, 0.0000, 0.3517)
I (0.0000, 0.0000, 0.6483)
I (0.5000, 0.5000, 0.1483)
I (0.5000, 0.5000, 0.8517)